[1]
# Na4Ge2PbS6

Crystalline Na4Ge2PbS6 at its relaxed geometry (PBEsol, Alexandria via LeMat-Bulk).

Values from the calculation:
ΔE_f (raw)	-0.8480	eV per atom
theoretical density	3.62	g cm⁻³

abc: 6.7625 6.7625 7.6841
angles: 98.41 98.41 119.79
Closest atoms and distances in Å follow each position.
Fractional positions:
Na 0.3342 0.6658 0.5000  6 S 2.97-2.98
Na 0.8222 0.1778 0.0000  6 S 2.86-2.93
Na 0.5008 0.4992 0.0000  6 S 2.86-2.99
Na 0.1770 0.8230 0.0000  6 S 2.85-2.92
S 0.2289 0.2291 0.2449  1 Ge 2.22
S 0.0835 0.3976 0.7524  1 Ge 2.23
S 0.3968 0.0817 0.7514  1 Ge 2.23
S 0.6024 0.9165 0.2476  1 Ge 2.23
S 0.7709 0.7711 0.7551  1 Ge 2.22
S 0.9183 0.6032 0.2486  1 Ge 2.23
Ge 0.0524 0.0525 0.6631  3 S 2.22-2.23, 1 Ge 2.40
Ge 0.9475 0.9476 0.3369  3 S 2.22-2.23, 1 Ge 2.40
Pb 0.6651 0.3349 0.5000  6 S 2.98-2.99

=====

[2]
# NaSrGePb2

Crystalline NaSrGePb2 at its relaxed geometry (PBEsol, Alexandria via LeMat-Bulk).

Values from the calculation:
energy of formation from the pure elements	0.21	eV per atom
theoretical density	6.49	g cm⁻³

abc: 5.1785 5.4361 5.4361
angles: 90.00 90.00 90.00
Closest atoms and distances in Å follow each position.
Fractional positions:
Pb 0.0000 0.0000 0.5000  2 Na 2.72
Pb 0.0000 0.5000 0.0000  2 Na 2.72
Ge 0.5000 0.0000 0.0000  2 Na 2.59
Sr 0.5000 0.5000 0.5000  8 Pb 3.75, 4 Ge 3.84
Na 0.0000 0.0000 0.0000  2 Ge 2.59, 4 Pb 2.72

=====

[3]
# NaSr2GePb

Crystalline NaSr2GePb at its relaxed geometry (PBEsol, Alexandria via LeMat-Bulk).

Values from the calculation:
energy of formation from the pure elements	-0.07	eV per atom
theoretical density	4.20	g cm⁻³

abc: 5.3674 5.9336 5.9336
angles: 90.00 90.00 90.00
Closest atoms and distances in Å follow each position.
Fractional positions:
Na 0.5000 0.0000 0.0000  2 Ge 2.68
Sr 0.0000 0.0000 0.5000  2 Ge 2.97
Sr 0.0000 0.5000 0.0000  2 Ge 2.97
Pb 0.5000 0.5000 0.5000  8 Sr 4.00, 4 Na 4.20
Ge 0.0000 0.0000 0.0000  2 Na 2.68, 4 Sr 2.97

=====

[4]
# Na2Ge2Pd

Crystalline Na2Ge2Pd at its relaxed geometry (PBEsol, Alexandria via LeMat-Bulk).

Values from the calculation:
energy of formation from the pure elements	-0.26	eV per atom
theoretical density	4.93	g cm⁻³

abc: 4.9087 6.3939 6.3939
angles: 90.00 90.00 90.00
Closest atoms and distances in Å follow each position.
Fractional positions:
Na 0.5000 0.3207 0.1793  6 Ge 2.97-3.18, 5 Na 3.24-3.32
Na 0.5000 0.8207 0.3207  6 Ge 2.97-3.18, 5 Na 3.24-3.32
Na 0.5000 0.6793 0.8207  6 Ge 2.97-3.18, 5 Na 3.24-3.32
Na 0.5000 0.1793 0.6793  6 Ge 2.97-3.18, 5 Na 3.24-3.32
Ge 0.0000 0.8652 0.6348  1 Ge 2.44, 2 Pd 2.49
Ge 0.0000 0.6348 0.1348  1 Ge 2.44, 2 Pd 2.49
Ge 0.0000 0.3652 0.8652  1 Ge 2.44, 2 Pd 2.49
Ge 0.0000 0.1348 0.3652  1 Ge 2.44, 2 Pd 2.49
Pd 0.0000 0.5000 0.5000  4 Ge 2.49
Pd 0.0000 0.0000 0.0000  4 Ge 2.49

=====

[5]
# Na3Ge4Pt4

Crystalline Na3Ge4Pt4 at its relaxed geometry (PBEsol, Alexandria via LeMat-Bulk).

Values from the calculation:
energy of formation from the pure elements	-0.48	eV per atom
theoretical density	8.58	g cm⁻³

abc: 6.5925 6.5925 6.5925
angles: 109.47 109.47 109.47
Closest atoms and distances in Å follow each position.
Fractional positions:
Na 0.0000 0.5000 0.5000  4 Ge 3.12, 4 Pt 3.13
Na 0.5000 0.0000 0.5000  4 Ge 3.12, 4 Pt 3.13
Na 0.5000 0.5000 0.0000  4 Ge 3.12, 4 Pt 3.13
Pt 0.0000 0.2749 0.0000  4 Ge 2.35-2.50
Pt 0.7251 0.7251 0.7251  4 Ge 2.35-2.50
Pt 0.0000 0.0000 0.2749  4 Ge 2.35-2.50
Pt 0.2749 0.0000 0.0000  4 Ge 2.35-2.50
Ge 0.0000 0.6308 0.0000  4 Pt 2.35-2.50
Ge 0.0000 0.0000 0.6308  4 Pt 2.35-2.50
Ge 0.6308 0.0000 0.0000  4 Pt 2.35-2.50
Ge 0.3692 0.3692 0.3692  4 Pt 2.35-2.50

=====

[6]
# NaGePt3

Crystalline NaGePt3 at its relaxed geometry (PBEsol, Alexandria via LeMat-Bulk).

Values from the calculation:
energy of formation from the pure elements	0.28	eV per atom
theoretical density	11.28	g cm⁻³

abc: 4.6449 4.6449 4.6449
angles: 90.00 90.00 90.00
Closest atoms and distances in Å follow each position.
Fractional positions:
Ge 0.0000 0.0000 0.0000  6 Pt 2.32
Pt 0.0000 0.5000 0.0000  2 Ge 2.32
Pt 0.0000 0.0000 0.5000  2 Ge 2.32
Pt 0.5000 0.0000 0.0000  2 Ge 2.32
Na 0.5000 0.5000 0.5000  12 Pt 3.28

=====

| no. | DOS at the Fermi energy (states/eV per atom) |
| --- | --- |
| 1 | 0.00 |
| 2 | 0.68 |
| 3 | 1.39 |
| 4 | 0.46 |
| 5 | 0.23 |
| 6 | 0.98 |